[1]
# Ho2ErHgN

A relaxed structure of Ho2ErHgN (GGA-PBE, Alexandria).

Structure (extended XYZ):
```
5
Lattice="4.746 0.000 0.000 0.000 4.772 0.000 0.000 0.000 4.772" Properties=species:S:1:pos:R:3 pbc="T T T"
Ho 0.000 2.386 0.000
Ho 0.000 0.000 2.386
N 0.000 0.000 0.000
Er 2.373 0.000 0.000
Hg 2.373 2.386 2.386
```

Values from the calculation:
Its uncorrected formation energy is -0.95 eV/atom. As for the space group: P4/mmm.



[2]
# Ce2PaO7

A relaxed structure of Ce2PaO7 (GGA-PBE, Alexandria).

Structure (extended XYZ):
```
10
Lattice="-0.809 3.749 -0.668 -2.101 1.012 -3.117 -9.987 0.671 4.520" Properties=species:S:1:pos:R:3 pbc="T T T"
O -10.511 3.988 1.089
O 0.000 0.000 0.000
O -8.272 2.530 1.537
O -4.625 2.901 -0.801
O -2.386 1.443 -0.353
O -6.870 4.358 -1.246
O -6.027 1.073 1.981
Ce -4.732 4.575 -2.616
Ce -8.165 0.856 3.352
Pa -6.449 2.716 0.368
```

Values from the calculation:
Its uncorrected formation energy is -3.18 eV/atom. As for the space group: R-3m.



[3]
# Ba2LaSc

A relaxed structure of Ba2LaSc (GGA-PBE, Alexandria).

Structure (extended XYZ):
```
4
Lattice="6.869 0.000 0.013 5.753 3.753 0.013 1.385 0.412 6.357" Properties=species:S:1:pos:R:3 pbc="T T T"
Ba 7.148 2.125 3.136
Ba 12.478 3.710 0.081
La 10.505 3.123 4.787
Sc 3.502 1.041 1.596
```

Values from the calculation:
As for the formation energy: 0.33 eV/atom. As for the space group: C2/m.



[4]
# Pm10DyTh4

A relaxed structure of Pm10DyTh4 (GGA-PBE, Alexandria).

Structure (extended XYZ):
```
15
Lattice="-9.235 -2.079 5.129 -6.269 -5.730 -2.310 -1.442 -6.008 6.269" Properties=species:S:1:pos:R:3 pbc="T T T"
Th -8.503 -8.492 3.849
Th -12.202 -8.558 8.461
Th -8.444 -5.325 5.239
Th -4.744 -5.259 0.627
Pm -10.782 -7.428 5.826
Pm -5.195 -3.432 4.140
Pm -11.752 -10.385 4.949
Pm -2.266 -2.773 2.513
Pm -11.516 -6.023 3.008
Pm -8.587 -5.364 1.382
Pm -6.164 -6.389 3.262
Pm -5.431 -7.794 6.080
Pm -8.359 -8.453 7.706
Pm -14.680 -11.044 6.575
Dy 0.000 0.000 0.000
```

Values from the calculation:
As for the formation energy: 0.37 eV/atom. As for the space group: I4/m.



[5]
# CdBi3Pb3

A relaxed structure of CdBi3Pb3 (GGA-PBE, Alexandria).

Structure (extended XYZ):
```
14
Lattice="7.527 -0.002 2.409 1.758 7.319 2.409 -0.003 -0.002 7.903" Properties=species:S:1:pos:R:3 pbc="T T T"
Bi 6.806 0.230 4.891
Bi 8.455 4.859 4.746
Bi 5.178 0.751 9.500
Bi 2.475 7.085 7.829
Bi 0.827 2.456 7.974
Bi 4.104 6.564 3.220
Pb 5.368 3.386 3.931
Pb 3.784 1.256 6.311
Pb 2.356 4.428 5.529
Pb 5.498 6.059 6.408
Pb 3.914 3.929 8.789
Pb 6.925 2.887 7.191
Cd 2.321 1.829 3.180
Cd 6.961 5.486 9.540
```

Values from the calculation:
As for the formation energy: 0.06 eV/atom. As for the space group: R-3.



[6]
# In3PSe

A relaxed structure of In3PSe (GGA-PBE, Alexandria).

Structure (extended XYZ):
```
5
Lattice="-4.763 1.617 -1.595 -2.239 -2.723 3.926 0.380 4.221 3.144" Properties=species:S:1:pos:R:3 pbc="T T T"
In 0.190 2.110 1.572
In -2.381 0.809 -0.798
In -1.120 -1.361 1.963
Se -3.311 1.558 2.737
P 0.000 0.000 0.000
```

Values from the calculation:
Its uncorrected formation energy is 0.16 eV/atom. As for the space group: Pm-3m.



[7]
# PaNiGeRu

A relaxed structure of PaNiGeRu (GGA-PBE, Alexandria).

Structure (extended XYZ):
```
4
Lattice="4.584 0.000 0.000 2.292 3.970 0.000 2.292 1.323 3.743" Properties=species:S:1:pos:R:3 pbc="T T T"
Pa 6.877 3.970 2.807
Ge 2.292 1.323 0.936
Ni 0.000 0.000 0.000
Ru 4.584 2.647 1.872
```

Values from the calculation:
As for the formation energy: -0.29 eV/atom. As for the space group: F-43m.



[8]
# PmEr3Pb2

A relaxed structure of PmEr3Pb2 (GGA-PBE, Alexandria).

Structure (extended XYZ):
```
12
Lattice="-1.717 -4.251 0.080 10.351 -1.687 1.070 -5.862 2.502 7.132" Properties=species:S:1:pos:R:3 pbc="T T T"
Er 4.188 -4.068 5.096
Er -0.112 -2.352 3.999
Er -2.843 -1.211 6.056
Er 2.883 -1.084 4.282
Er 5.614 -2.225 2.225
Er -1.417 0.632 3.186
Pb -1.687 -1.767 1.287
Pb 0.085 0.080 6.101
Pb 2.686 -3.516 2.181
Pb 4.459 -1.669 6.994
Pm 1.180 -2.812 7.326
Pm 1.591 -0.625 0.955
```

Values from the calculation:
As for the formation energy: -0.32 eV/atom. As for the space group: C2/m.



no.,raw total energy (eV per atom)
1,-5.415
2,-8.783
3,-3.450
4,-5.085
5,-3.323
6,-3.259
7,-7.582
8,-4.628